Run 1
Al2Ag2Au5: optimized geometry, PBE-GGA.

a = 5.6499 Å, b = 9.0343 Å, c = 8.4204 Å
α = 122.44°, β = 109.60°, γ = 90.00°
Last column: nearest neighbours and their distance in Å.
Atoms (fractional coordinates):
Al  0.0000  0.0732  0.0000  6 Au 2.62-2.90
Al  0.5000  0.5732  0.0000  6 Au 2.62-2.90
Al  0.0357  0.1551  0.5000  6 Au 2.56-2.73, 2 Ag 2.81
Al  0.9643  0.6551  0.5000  6 Au 2.56-2.73, 2 Ag 2.81
Ag  0.1201  0.7488  0.2753  4 Au 2.74-2.85, 1 Al 2.81, 1 Ag 2.93
Ag  0.8799  0.4736  0.7247  4 Au 2.74-2.85, 1 Al 2.81, 1 Ag 2.93
Ag  0.6552  0.2488  0.2753  4 Au 2.74-2.85, 1 Al 2.81, 1 Ag 2.93
Ag  0.3448  0.9736  0.7247  4 Au 2.74-2.85, 1 Al 2.81, 1 Ag 2.93
Au  0.2455  0.7699  0.8714  2 Al 2.56-2.72, 2 Au 2.73-2.83, 2 Ag 2.77-2.85
Au  0.7545  0.8985  0.1286  2 Al 2.56-2.72, 2 Au 2.73-2.83, 2 Ag 2.77-2.85
Au  0.1259  0.2699  0.8714  2 Al 2.56-2.72, 2 Au 2.73-2.83, 2 Ag 2.77-2.85
Au  0.8741  0.3985  0.1286  2 Al 2.56-2.72, 2 Au 2.73-2.83, 2 Ag 2.77-2.85
Au  0.3160  0.0369  0.2804  2 Al 2.62-2.63, 2 Ag 2.74-2.80, 2 Au 2.83-2.86
Au  0.6840  0.7565  0.7196  2 Al 2.62-2.63, 2 Ag 2.74-2.80, 2 Au 2.83-2.86
Au  0.4645  0.5369  0.2804  2 Al 2.62-2.63, 2 Ag 2.74-2.80, 2 Au 2.83-2.86
Au  0.5355  0.2565  0.7196  2 Al 2.62-2.63, 2 Ag 2.74-2.80, 2 Au 2.83-2.86
Au  0.2598  0.4234  0.5000  2 Al 2.68-2.73
Au  0.7402  0.9234  0.5000  2 Al 2.68-2.73

SG ... Ima2, No. 46



Run 2
Al2Ag2Au5: optimized geometry, PBE-GGA.

a = 4.3984 Å, b = 5.4934 Å, c = 7.6077 Å
α = 113.82°, β = 106.57°, γ = 89.89°
Last column: nearest neighbours and their distance in Å.
Atoms (fractional coordinates):
Al  0.6185  0.2885  0.2340  6 Au 2.59-2.84
Al  0.3815  0.7115  0.7660  6 Au 2.59-2.84
Ag  0.7871  0.8749  0.5751  8 Au 2.83-3.05, 3 Al 2.94-3.13, 2 Ag 3.03
Ag  0.2129  0.1251  0.4249  8 Au 2.83-3.05, 3 Al 2.94-3.13, 2 Ag 3.03
Au  0.5782  0.7712  0.1538  3 Al 2.65-2.95, 3 Au 2.88-2.95, 1 Ag 2.88
Au  0.4218  0.2288  0.8462  3 Al 2.65-2.95, 3 Au 2.88-2.95, 1 Ag 2.88
Au  0.8399  0.4343  0.6820  2 Al 2.59-2.60, 2 Ag 2.83-2.84
Au  0.1601  0.5657  0.3180  2 Al 2.59-2.60, 2 Ag 2.83-2.84
Au  0.0000  0.0000  0.0000  4 Al 2.81-2.84, 2 Ag 2.88, 6 Au 2.97-3.00

SG ... P-1, No. 2



run 2 comes first in stability; the runner-up is 8.4 kJ/mol of atoms higher.



Run 1
AlAg2Au8: optimized geometry, PBE-GGA.

a = 5.1181 Å, b = 6.8224 Å, c = 6.8224 Å
α = 83.86°, β = 75.75°, γ = 75.75°
Last column: nearest neighbours and their distance in Å.
Atoms (fractional coordinates):
Al  0.0000  0.0000  0.0000  2 Ag 2.55, 6 Au 2.60-2.62
Ag  0.4858  0.1432  0.1432  1 Al 2.55, 5 Au 2.74-2.84
Ag  0.5142  0.8568  0.8568  1 Al 2.55, 5 Au 2.74-2.84
Au  0.8040  0.1576  0.6876  1 Al 2.60, 2 Au 2.80-2.82, 1 Ag 2.81
Au  0.1960  0.3124  0.8424  1 Al 2.60, 2 Au 2.80-2.82, 1 Ag 2.81
Au  0.9037  0.2702  0.2702  1 Al 2.62, 3 Au 2.82-2.88, 2 Ag 2.83-2.84
Au  0.0963  0.7298  0.7298  1 Al 2.62, 3 Au 2.82-2.88, 2 Ag 2.83-2.84
Au  0.8040  0.6876  0.1576  1 Al 2.60, 2 Au 2.80-2.82, 1 Ag 2.81
Au  0.1960  0.8424  0.3124  1 Al 2.60, 2 Au 2.80-2.82, 1 Ag 2.81
Au  0.2989  0.4288  0.4288  1 Ag 2.74, 7 Au 2.80-2.98
Au  0.7011  0.5712  0.5712  1 Ag 2.74, 7 Au 2.80-2.98

SG ... C2/m, No. 12



Run 2
AlAg2Au8: optimized geometry, PBE-GGA.

a = 4.2031 Å, b = 6.5850 Å, c = 7.6473 Å
α = 106.13°, β = 105.95°, γ = 90.00°
Last column: nearest neighbours and their distance in Å.
Atoms (fractional coordinates):
Al  0.5000  0.0000  0.0000  12 Au 2.77-2.96
Ag  0.2236  0.6313  0.4472  10 Au 2.88-2.99, 2 Ag 2.96
Ag  0.7764  0.3687  0.5528  10 Au 2.88-2.99, 2 Ag 2.96
Au  0.5890  0.4330  0.1780  1 Al 2.77, 8 Au 2.87-3.05, 3 Ag 2.91-2.92
Au  0.3214  0.0902  0.6427  1 Al 2.86, 8 Au 2.89-3.03, 3 Ag 2.95-2.99
Au  0.1345  0.1732  0.2690  7 Au 2.85-2.95, 2 Al 2.89, 3 Ag 2.92-2.98
Au  0.0450  0.7279  0.0901  9 Au 2.85-3.05, 1 Ag 2.88, 2 Al 2.96
Au  0.8655  0.8268  0.7310  7 Au 2.85-2.95, 2 Al 2.89, 3 Ag 2.92-2.98
Au  0.6786  0.9098  0.3573  1 Al 2.86, 8 Au 2.89-3.03, 3 Ag 2.95-2.99
Au  0.4110  0.5670  0.8220  1 Al 2.77, 8 Au 2.87-3.05, 3 Ag 2.91-2.92
Au  0.9550  0.2721  0.9099  9 Au 2.85-3.05, 1 Ag 2.88, 2 Al 2.96

SG ... C2/m, No. 12



run 2 comes first in stability; the runner-up is 13.8 kJ/mol of atoms higher.



Run 1
AlAgAu: optimized geometry, PBE-GGA.

a = 3.0126 Å, b = 3.0126 Å, c = 6.6158 Å
α = 90.00°, β = 90.00°, γ = 120.00°
Last column: nearest neighbours and their distance in Å.
Atoms (fractional coordinates):
Au  0.3333  0.6667  0.6474  3 Al 2.69, 3 Ag 2.99
Al  0.6667  0.3333  0.3382  3 Au 2.69, 3 Ag 2.76
Ag  0.0000  0.0000  0.0145  3 Al 2.76, 3 Au 2.99, 6 Ag 3.01

SG ... P3m1, No. 156



Run 2
AlAgAu: optimized geometry, PBE-GGA.

a = 4.4806 Å, b = 4.4806 Å, c = 2.9999 Å
α = 90.00°, β = 90.00°, γ = 120.00°
Last column: nearest neighbours and their distance in Å.
Atoms (fractional coordinates):
Au  0.3333  0.6667  0.4981  3 Al 2.59
Al  0.6667  0.3333  0.5035  3 Au 2.59
Ag  0.0000  0.0000  0.9984  6 Al 2.98-3.00, 6 Au 2.99, 2 Ag 3.00

SG ... P3m1, No. 156



Run 3
AlAgAu: optimized geometry, PBE-GGA.

a = 4.3248 Å, b = 4.5274 Å, c = 6.6735 Å
α = 78.61°, β = 90.00°, γ = 61.46°
Last column: nearest neighbours and their distance in Å.
Atoms (fractional coordinates):
Al  0.5781  0.0143  0.2579  5 Au 2.64-2.73, 1 Ag 2.83
Al  0.9777  0.2150  0.5751  4 Au 2.66-2.78, 3 Ag 2.73-2.75
Ag  0.1760  0.8182  0.9705  3 Ag 2.74-2.76, 1 Al 2.75, 4 Au 2.85-3.01
Ag  0.4738  0.2226  0.8241  3 Al 2.73-2.83, 3 Ag 2.74-2.76, 1 Au 2.76
Au  0.2649  0.6408  0.4339  5 Al 2.66-2.78, 1 Ag 2.76
Au  0.8857  0.3992  0.1614  4 Al 2.64-2.69, 3 Ag 2.85-2.88

SG ... Cm, No. 8



Run 4
AlAgAu: optimized geometry, PBE-GGA.

a = 7.3263 Å, b = 7.3263 Å, c = 4.3234 Å
α = 53.92°, β = 53.92°, γ = 34.16°
Last column: nearest neighbours and their distance in Å.
Atoms (fractional coordinates):
Al  0.6695  0.6271  0.4077  4 Au 2.64-2.65, 4 Ag 2.84
Al  0.1707  0.1284  0.9031  4 Au 2.64-2.65, 4 Ag 2.84
Ag  0.3371  0.2948  0.0713  2 Ag 2.83, 4 Al 2.84, 6 Au 3.04-3.07
Ag  0.5031  0.4607  0.2396  2 Ag 2.83, 4 Al 2.84, 6 Au 3.04-3.07
Au  0.0315  0.9891  0.6812  4 Al 2.64-2.65
Au  0.8087  0.7664  0.6296  4 Al 2.64-2.65

SG ... C2/m, No. 12



run 4 comes first in stability; the runner-up is 4.5 kJ/mol of atoms higher.



Run 1
AlAgAu: optimized geometry, PBE-GGA.

a = 4.3300 Å, b = 4.3300 Å, c = 4.3300 Å
α = 60.00°, β = 60.00°, γ = 60.00°
Last column: nearest neighbours and their distance in Å.
Atoms (fractional coordinates):
Au  0.0000  0.0000  0.0000  4 Al 2.65
Al  0.7500  0.7500  0.7500  4 Au 2.65, 4 Ag 2.65
Ag  0.5000  0.5000  0.5000  4 Al 2.65

SG ... F-43m, No. 216



Run 2
AlAgAu: optimized geometry, PBE-GGA.

a = 5.0719 Å, b = 5.0719 Å, c = 5.0719 Å
α = 141.18°, β = 141.22°, γ = 56.04°
Last column: nearest neighbours and their distance in Å.
Atoms (fractional coordinates):
Au  0.6794  0.6794  0.0000  4 Al 2.72, 5 Ag 2.82-2.90
Al  0.3266  0.3266  0.0000  4 Au 2.72, 5 Ag 2.82-2.98
Ag  0.9940  0.9940  0.0000  5 Al 2.82-2.98, 5 Au 2.82-2.90

SG ... I4mm, No. 107



run 2 comes first in stability; the runner-up is 8.7 kJ/mol of atoms higher.



Run 1
AlAg2B: optimized geometry, PBE-GGA.

a = 3.8713 Å, b = 3.8713 Å, c = 8.9879 Å
α = 77.56°, β = 77.56°, γ = 90.00°
Last column: nearest neighbours and their distance in Å.
Atoms (fractional coordinates):
B  0.5000  0.5000  0.0000  4 Ag 2.52, 4 Al 2.74
B  0.2500  0.7500  0.5000  4 Ag 2.52, 4 Al 2.74
Al  0.0000  0.0000  0.0000  4 Ag 2.56, 4 B 2.74
Al  0.7500  0.2500  0.5000  4 Ag 2.56, 4 B 2.74
Ag  0.6093  0.1250  0.2500  2 B 2.52, 2 Al 2.56, 2 Ag 2.65
Ag  0.1407  0.6250  0.2500  2 B 2.52, 2 Al 2.56, 2 Ag 2.65
Ag  0.3750  0.3907  0.7500  2 B 2.52, 2 Al 2.56, 2 Ag 2.65
Ag  0.8750  0.8593  0.7500  2 B 2.52, 2 Al 2.56, 2 Ag 2.65

SG ... I-42d, No. 122



Run 2
AlAg2B: optimized geometry, PBE-GGA.

a = 4.3737 Å, b = 4.3737 Å, c = 4.3737 Å
α = 60.00°, β = 60.00°, γ = 60.00°
Last column: nearest neighbours and their distance in Å.
Atoms (fractional coordinates):
B  0.0000  0.0000  0.0000  8 Ag 2.68
Al  0.5000  0.5000  0.5000  8 Ag 2.68
Ag  0.2500  0.2500  0.2500  4 Al 2.68, 4 B 2.68
Ag  0.7500  0.7500  0.7500  4 Al 2.68, 4 B 2.68

SG ... Fm-3m, No. 225



run 1 comes first in stability; the runner-up is 2.8 kJ/mol of atoms higher.